# 1
Below is an optimized crystal structure of LiRuRh2, with properties calculated at the GGA-PBE level.

Lattice parameters (Å, degrees): 4.9205 4.9205 4.9205 145.78 127.30 64.35
Closest atoms and distances in Å follow each position.
Element x y z (fractional)
Li1 0.0000 0.0000 0.0000  4 Rh 2.43, 4 Ru 2.62
Ru1 0.5000 0.5000 0.0000  4 Li 2.62, 8 Rh 2.65-2.93, 2 Ru 2.90
Rh1 0.2341 0.7341 0.5000  2 Li 2.43, 4 Rh 2.63, 2 Ru 2.65
Rh2 0.7659 0.2659 0.5000  2 Li 2.43, 4 Rh 2.63, 2 Ru 2.65

Space-group type: Immm, No. 71
Energy of formation from the pure elements in eV/atom: 0.10
Crystal system: orthorhombic

=====

# 2
Below is an optimized crystal structure of NbFeTcW, with properties calculated at the GGA-PBE level.

Lattice parameters (Å, degrees): 4.4076 4.4076 4.4076 60.00 60.00 60.00
Closest atoms and distances in Å follow each position.
Element x y z (fractional)
Nb1 0.0000 0.0000 0.0000  4 Fe 2.70, 4 Tc 2.70
Fe1 0.7500 0.7500 0.7500  4 Nb 2.70, 4 W 2.70
Tc1 0.2500 0.2500 0.2500  4 Nb 2.70, 4 W 2.70
W1 0.5000 0.5000 0.5000  4 Fe 2.70, 4 Tc 2.70

Space-group type: F-43m, No. 216
Energy of formation from the pure elements in eV/atom: -0.01
Crystal system: cubic

=====

# 3
Below is an optimized crystal structure of Na2HfAg2Se4, with properties calculated at the GGA-PBE level.

Lattice parameters (Å, degrees): 7.9771 7.9771 7.7069 116.02 116.02 29.11
Closest atoms and distances in Å follow each position.
Element x y z (fractional)
Na1 0.1491 0.1491 0.0606  5 Se 2.98-3.10
Na2 0.8509 0.8509 0.9394  5 Se 2.98-3.10
Hf1 0.0000 0.0000 0.5000  6 Se 2.74-2.75
Ag1 0.3230 0.3230 0.5440  4 Se 2.60-2.78, 2 Ag 2.86
Ag2 0.6770 0.6770 0.4560  4 Se 2.60-2.78, 2 Ag 2.86
Se1 0.1978 0.1978 0.7139  1 Hf 2.74, 3 Ag 2.74-2.78, 2 Na 2.98
Se2 0.4897 0.4897 0.2469  1 Ag 2.60, 2 Hf 2.75
Se3 0.5103 0.5103 0.7531  1 Ag 2.60, 2 Hf 2.75
Se4 0.8022 0.8022 0.2861  1 Hf 2.74, 3 Ag 2.74-2.78, 2 Na 2.98

Space-group type: C2/m, No. 12
Crystal system: monoclinic
Energy relative to the elements, uncorrected in meV per atom: -838

=====

# 4
Below is an optimized crystal structure of MnFe2Pd2, with properties calculated at the GGA-PBE level.

Lattice parameters (Å, degrees): 5.9153 5.9153 3.8360 90.00 90.00 90.00
Closest atoms and distances in Å follow each position.
Element x y z (fractional)
Mn1 0.0000 0.0000 0.0000  4 Fe 2.33
Mn2 0.5000 0.5000 0.0000  4 Fe 2.33
Fe1 0.1268 0.3732 0.0000  1 Fe 2.12, 2 Mn 2.33
Fe2 0.3732 0.8732 0.0000  1 Fe 2.12, 2 Mn 2.33
Fe3 0.6268 0.1268 0.0000  1 Fe 2.12, 2 Mn 2.33
Fe4 0.8732 0.6268 0.0000  1 Fe 2.12, 2 Mn 2.33
Pd1 0.1711 0.6711 0.5000  6 Fe 2.56-2.62, 1 Pd 2.86
Pd2 0.3289 0.1711 0.5000  6 Fe 2.56-2.62, 1 Pd 2.86
Pd3 0.6711 0.8289 0.5000  6 Fe 2.56-2.62, 1 Pd 2.86
Pd4 0.8289 0.3289 0.5000  6 Fe 2.56-2.62, 1 Pd 2.86

Space-group type: P4/mbm, No. 127
Energy of formation from the pure elements in eV/atom: 0.37
Crystal system: tetragonal

=====

# 5
Below is an optimized crystal structure of BaMg2Tl, with properties calculated at the GGA-PBE level.

Lattice parameters (Å, degrees): 5.5178 5.5178 5.5178 60.00 60.00 60.00
Closest atoms and distances in Å follow each position.
Element x y z (fractional)
Ba1 0.0000 0.0000 0.0000  8 Mg 3.38
Mg1 0.2500 0.2500 0.2500  4 Tl 3.38, 4 Ba 3.38
Mg2 0.7500 0.7500 0.7500  4 Tl 3.38, 4 Ba 3.38
Tl1 0.5000 0.5000 0.5000  8 Mg 3.38

Space-group type: Fm-3m, No. 225
Energy of formation from the pure elements in eV/atom: -0.09
Crystal system: cubic

=====

# 6
Below is an optimized crystal structure of SmAl4Au12, with properties calculated at the GGA-PBE level.

Lattice parameters (Å, degrees): 7.7307 7.7307 7.7307 109.47 109.47 109.47
Closest atoms and distances in Å follow each position.
Element x y z (fractional)
Sm1 0.0000 0.0000 0.0000  12 Au 3.36
Al1 0.0000 0.0000 0.5000  6 Au 2.52
Al2 0.0000 0.5000 0.0000  6 Au 2.52
Al3 0.5000 0.0000 0.0000  6 Au 2.52
Al4 0.5000 0.5000 0.5000  6 Au 2.52
Au1 0.1563 0.4983 0.3420  2 Al 2.52, 2 Au 2.79-2.82
Au2 0.1563 0.8142 0.6580  2 Al 2.52, 2 Au 2.79-2.82
Au3 0.1858 0.3420 0.8437  2 Al 2.52, 2 Au 2.79-2.82
Au4 0.3420 0.1563 0.4983  2 Al 2.52, 2 Au 2.79-2.82
Au5 0.3420 0.8437 0.1858  2 Al 2.52, 2 Au 2.79-2.82
Au6 0.4983 0.3420 0.1563  2 Al 2.52, 2 Au 2.79-2.82
Au7 0.5017 0.6580 0.8437  2 Al 2.52, 2 Au 2.79-2.82
Au8 0.6580 0.1563 0.8142  2 Al 2.52, 2 Au 2.79-2.82
Au9 0.6580 0.8437 0.5017  2 Al 2.52, 2 Au 2.79-2.82
Au10 0.8142 0.6580 0.1563  2 Al 2.52, 2 Au 2.79-2.82
Au11 0.8437 0.1858 0.3420  2 Al 2.52, 2 Au 2.79-2.82
Au12 0.8437 0.5017 0.6580  2 Al 2.52, 2 Au 2.79-2.82

Space-group type: Im-3, No. 204
Energy of formation from the pure elements in eV/atom: -0.20
Crystal system: cubic

=====

# 7
Below is an optimized crystal structure of Pu2SbH2, with properties calculated at the GGA-PBE level.

Lattice parameters (Å, degrees): 7.7046 6.5553 5.8013 76.88 55.96 47.16
Closest atoms and distances in Å follow each position.
Element x y z (fractional)
Pu1 0.0507 0.6993 0.0507  4 H 2.25
Pu2 0.3007 0.9493 0.3007  4 H 2.25
Pu3 0.6993 0.0507 0.6993  4 H 2.25
Pu4 0.9493 0.3007 0.9493  4 H 2.25
Sb1 0.3750 0.3750 0.3750  10 Pu 3.24-3.42, 8 H 3.26-3.28
Sb2 0.6250 0.6250 0.6250  10 Pu 3.24-3.42, 8 H 3.26-3.28
H1 0.0053 0.0053 0.2447  4 Pu 2.25
H2 0.2447 0.2447 0.0053  4 Pu 2.25
H3 0.7553 0.7553 0.9947  4 Pu 2.25
H4 0.9947 0.9947 0.7553  4 Pu 2.25

Space-group type: Fddd, No. 70
Crystal system: orthorhombic

=====

# 8
Below is an optimized crystal structure of La2BeW, with properties calculated at the GGA-PBE level.

Lattice parameters (Å, degrees): 3.0776 3.0776 9.4433 90.00 90.00 90.00
Closest atoms and distances in Å follow each position.
Element x y z (fractional)
La1 0.0000 0.0000 0.2350  4 La 3.08, 4 Be 3.11, 4 W 3.32
La2 0.0000 0.0000 0.7650  4 La 3.08, 4 Be 3.11, 4 W 3.32
Be1 0.5000 0.5000 0.0000  4 Be 3.08, 8 La 3.11
W1 0.5000 0.5000 0.5000  4 W 3.08, 8 La 3.32

Space-group type: P4/mmm, No. 123
Energy of formation from the pure elements in eV/atom: 0.69
Crystal system: tetragonal

=====

Asked for density of states at the Fermi level across the records above, the calculation gives 4.9 3.4 0.0 11.5 1.8 6.0 14.6 4.5 states/eV/f.u. in order.
Asked for total energy across the records above, the calculation gives -25.490 -41.901 -39.770 -69.270 -7.855 -62.370 -84.585 -23.786 eV/cell in order.
Asked for spin magnetization across the records above, the calculation gives 0.0 1.6 0.0 4.2 0.0 0.0 11.0 0.0 μB per formula unit in order.